## K5Pm2Cl12 (PBE)

Data for crystalline K5Pm2Cl12 at its relaxed geometry.

Unit cell a=15.812 b=9.698 c=11.169 alpha=90.00 beta=134.87 gamma=90.00
Space group C2/m (No. 12)
Unique sites:
K (0.000, 0.000, 0.000) [2 per cell]
K (0.248, 0.000, 0.497) [4 per cell]
K (0.250, 0.000, 0.000) [4 per cell]
Pm (0.000, 0.250, 0.500) [4 per cell]
Cl (0.000, 0.180, 0.257) [8 per cell]
Cl (0.001, 0.500, 0.353) [4 per cell]
Cl (0.147, 0.000, 0.647) [4 per cell]
Cl (0.242, 0.319, 0.743) [8 per cell]

Calculated values
* theoretical density: 2.492 g/cm³
* uncorrected formation energy: -44.901 kcal/mol of atoms